Density functional theory data (GGA-PBE) for an optimized crystal structure of Pr4Cu3Pt.

Summary:
E: -4.960 eV/atom
Space-group type: No. 6
Energy of formation: -0.422 eV/atom

Cell lengths 5.730, 4.567, 7.453 Å; angles 90.00, 90.21, 90.00 degrees
Sites, in units of the cell vectors:
1 Pr 0.364 0.500 0.822
2 Pr 0.131 0.500 0.315
3 Pr 0.632 0.000 0.180
4 Pr 0.871 0.000 0.683
5 Pt 0.131 0.000 0.038
6 Cu 0.384 0.000 0.534
7 Cu 0.867 0.500 0.962
8 Cu 0.619 0.500 0.467

***

Density functional theory data (GGA-PBE) for an optimized crystal structure of Pr2CuPt.

Summary:
E: -5.500 eV/atom
Space-group type: No. 11
Energy of formation: -0.669 eV/atom

Cell lengths 5.792, 4.568, 7.904 Å; angles 90.00, 109.99, 90.00 degrees
Sites, in units of the cell vectors:
1 Pr 0.725 0.250 0.429
2 Pr 0.723 0.250 0.935
3 Pr 0.277 0.750 0.065
4 Pr 0.275 0.750 0.571
5 Pt 0.847 0.750 0.213
6 Pt 0.153 0.250 0.787
7 Cu 0.150 0.250 0.288
8 Cu 0.850 0.750 0.712